Record 1
DFT (PBE-GGA) results for a relaxed structure of KSc2Co.

a = 5.1001 Å, b = 5.1001 Å, c = 5.1001 Å
α = 60.00°, β = 60.00°, γ = 60.00°
Last column: nearest neighbours and their distance in Å.
Atoms (fractional coordinates):
K 0.7500 0.7500 0.7500  4 Co 3.12, 4 Sc 3.12
Sc 0.0000 0.0000 0.0000  4 K 3.12, 4 Sc 3.12
Sc 0.2500 0.2500 0.2500  4 Co 3.12, 4 Sc 3.12
Co 0.5000 0.5000 0.5000  4 Sc 3.12, 4 K 3.12

Computed properties:
Crystal system: cubic
Space-group type: F-43m
ΔE_f (eV/atom): 0.93

***

Record 2
DFT (PBE-GGA) results for a relaxed structure of KScCo2.

a = 7.3448 Å, b = 7.3448 Å, c = 7.3448 Å
α = 152.86°, β = 146.34°, γ = 43.76°
Last column: nearest neighbours and their distance in Å.
Atoms (fractional coordinates):
Co 0.8868 0.8868 0.0000  2 Co 2.18
Co 0.7893 0.2893 0.5000  2 Co 2.18
K 0.5437 0.5437 0.0000  2 K 3.45, 6 Co 3.47-3.77
Sc 0.2803 0.7803 0.5000  6 Co 2.57-2.74

Computed properties:
Crystal system: orthorhombic
Space-group type: Imm2
ΔE_f (eV/atom): 0.44